# Y2BePt | Alexandria | PBE | optimized geometry
# **Volume**: 174 Å³/cell
# **Total DFT energy (no corrections)**: -25.36 eV/f.u.
# **Calculated formation energy**: -0.665 eV per atom
data_Y2BePt
_chemical_formula_sum 'Y4 Be2 Pt2'
_space_group_name_H-M_alt 'A m m 2'
_space_group_IT_number 38
_cell_length_a 4.197
_cell_length_b 4.001
_cell_length_c 10.367
_cell_angle_alpha 90.00
_cell_angle_beta 90.00
_cell_angle_gamma 90.00
loop_
_space_group_symop_operation_xyz
'x,y,z'
'-x,-y,z'
'-x,y,z'
'x,-y,z'
'x,y+1/2,z+1/2'
'-x,-y+1/2,z+1/2'
'-x,y+1/2,z+1/2'
'x,-y+1/2,z+1/2'
loop_
_atom_site_label
_atom_site_fract_x
_atom_site_fract_y
_atom_site_fract_z
Y1 0.000 0.000 0.000
Y2 0.500 0.000 0.284
Be1 0.500 0.000 0.583
Pt1 0.000 0.000 0.704


# Ac6Os | Alexandria | PBE | optimized geometry
# **Volume**: 1202 Å³/cell
# **Total DFT energy (no corrections)**: -35.96 eV/f.u.
# **Calculated formation energy**: -0.012 eV per atom
data_Ac6Os
_chemical_formula_sum 'Ac24 Os4'
_space_group_name_H-M_alt 'P n m a'
_space_group_IT_number 62
_cell_length_a 13.534
_cell_length_b 12.420
_cell_length_c 7.148
_cell_angle_alpha 90.00
_cell_angle_beta 90.00
_cell_angle_gamma 90.00
loop_
_space_group_symop_operation_xyz
'x,y,z'
'-x,-y,-z'
'-x+1/2,-y,z+1/2'
'x+1/2,y,-z+1/2'
'x+1/2,-y+1/2,-z+1/2'
'-x+1/2,y+1/2,z+1/2'
'-x,y+1/2,-z'
'x,-y+1/2,z'
loop_
_atom_site_label
_atom_site_fract_x
_atom_site_fract_y
_atom_site_fract_z
Ac1 0.002 0.077 0.247
Ac2 0.005 0.250 0.755
Ac3 0.247 0.586 0.416
Ac4 0.250 0.250 0.409
Os1 0.116 0.750 0.587


# DyGe2Ir | Alexandria | PBE | optimized geometry
# **Volume**: 616 Å³/cell
# **Total DFT energy (no corrections)**: -25.92 eV/f.u.
# **Calculated formation energy**: -0.806 eV per atom
data_DyGe2Ir
_chemical_formula_sum 'Dy8 Ge16 Ir8'
_space_group_name_H-M_alt 'I m m m'
_space_group_IT_number 71
_space_group_name_Hall '-I 2 2'
_cell_length_a 4.267
_cell_length_b 8.906
_cell_length_c 16.204
_cell_angle_alpha 90.00
_cell_angle_beta 90.00
_cell_angle_gamma 90.00
loop_
_atom_site_label
_atom_site_fract_x
_atom_site_fract_y
_atom_site_fract_z
Dy1 0.000 0.000 0.205
Dy2 0.000 0.240 0.000
Ge1 0.000 0.000 0.422
Ge2 0.000 0.347 0.202
Ge3 0.000 0.500 0.424
Ir1 0.000 0.250 0.355


# Sm4HgIr2 | Alexandria | PBE | optimized geometry
# **Volume**: 729 Å³/cell
# **Total DFT energy (no corrections)**: -40.94 eV/f.u.
# **Calculated formation energy**: -0.577 eV per atom
data_Sm4HgIr2
_chemical_formula_sum 'Sm16 Hg4 Ir8'
_space_group_name_H-M_alt 'C 1 c 1'
_space_group_IT_number 9
_cell_length_a 8.693
_cell_length_b 14.889
_cell_length_c 7.096
_cell_angle_alpha 90.00
_cell_angle_beta 127.43
_cell_angle_gamma 90.00
loop_
_space_group_symop_operation_xyz
'x,y,z'
'x,-y,z+1/2'
'x+1/2,y+1/2,z'
'x+1/2,-y+1/2,z+1/2'
loop_
_atom_site_label
_atom_site_fract_x
_atom_site_fract_y
_atom_site_fract_z
Sm1 0.000 0.021 0.000
Sm2 0.018 0.459 0.848
Sm3 0.071 0.256 0.147
Sm4 0.252 0.183 0.821
Hg1 0.235 0.369 0.636
Ir1 0.269 0.094 0.466
Ir2 0.366 0.341 0.150


DOS(E_F) for every record listed, in sequence, given in states/eV/atom: 0.8756, 1.7638, 0.2844, 0.7842.